No. 1
Computed, not measured: a PBEsol-optimized structure of Ta2WSe at the meta-GGA SCAN level of DFT.

Cell and atoms, written as extended XYZ:
```
4
Lattice="2.916 0.000 0.000 0.000 2.916 0.000 0.000 0.000 7.859" Properties=species:S:1:pos:R:3 pbc="T T T"
Ta 0.000 0.000 1.764
Ta 0.000 0.000 6.095
W 1.458 1.458 3.929
Se 1.458 1.458 0.000
```

Output
Its space-group type is P4/mmm (123). For the formation energy (no corrections), the calculation gives 0.290 eV per atom. As for the uncorrected energy: -221.772 eV/cell.

=====

No. 2
Computed, not measured: a PBEsol-optimized structure of TaWSe at the meta-GGA SCAN level of DFT.

Cell and atoms, written as extended XYZ:
```
3
Lattice="0.000 2.442 6.281 1.667 0.000 6.281 1.667 2.442 0.000" Properties=species:S:1:pos:R:3 pbc="T T T"
Ta 0.000 0.000 0.000
W 1.667 2.442 8.317
Se 1.667 2.442 4.179
```

Output
Its space-group type is Fmm2 (42). For the formation energy (no corrections), the calculation gives 0.421 eV per atom. As for the uncorrected energy: -155.086 eV/cell.

=====

No. 3
Computed, not measured: a PBEsol-optimized structure of TaW2Se at the meta-GGA SCAN level of DFT.

Cell and atoms, written as extended XYZ:
```
4
Lattice="3.021 0.000 0.000 0.000 4.210 0.000 0.000 0.000 5.158" Properties=species:S:1:pos:R:3 pbc="T T T"
Ta 0.000 0.000 0.000
W 1.510 2.105 1.266
W 1.510 2.105 3.892
Se 0.000 0.000 2.579
```

Output
Its space-group type is Pmmm (47). For the formation energy (no corrections), the calculation gives 0.468 eV per atom. As for the uncorrected energy: -224.164 eV/cell.

=====

No. 4
Computed, not measured: a PBEsol-optimized structure of TaW3Se at the meta-GGA SCAN level of DFT.

Cell and atoms, written as extended XYZ:
```
5
Lattice="4.517 0.000 0.000 0.000 4.517 0.000 0.000 0.000 4.517" Properties=species:S:1:pos:R:3 pbc="T T T"
Ta 0.000 0.000 0.000
W 0.000 2.259 2.259
W 2.259 0.000 2.259
W 2.259 2.259 0.000
Se 2.259 2.259 2.259
```

Output
Its space-group type is Pm-3m (221). For the formation energy (no corrections), the calculation gives 1.640 eV per atom. As for the uncorrected energy: -287.526 eV/cell.

=====

No. 5
Computed, not measured: a PBEsol-optimized structure of YTaSe2 at the meta-GGA SCAN level of DFT.

Cell and atoms, written as extended XYZ:
```
4
Lattice="1.714 0.990 9.045 -1.714 0.990 9.045 0.000 -1.980 9.045" Properties=species:S:1:pos:R:3 pbc="T T T"
Y 0.000 0.000 0.000
Ta 0.000 0.000 13.568
Se 0.000 0.000 2.828
Se 0.000 0.000 24.307
```

Output
Its space-group type is R-3m (166). For the formation energy (no corrections), the calculation gives -0.619 eV per atom. As for the uncorrected energy: -137.058 eV/cell.

=====

No. 6
Computed, not measured: a PBEsol-optimized structure of Y2TaSe at the meta-GGA SCAN level of DFT.

Cell and atoms, written as extended XYZ:
```
4
Lattice="1.754 1.012 8.782 -1.754 1.012 8.782 0.000 -2.025 8.782" Properties=species:S:1:pos:R:3 pbc="T T T"
Y 0.000 0.000 6.359
Y 0.000 0.000 19.987
Ta 0.000 0.000 0.000
Se 0.000 0.000 13.173
```

Output
Its space-group type is R-3m (166). For the formation energy (no corrections), the calculation gives -0.482 eV per atom. As for the uncorrected energy: -144.277 eV/cell.

=====

No. 7
Computed, not measured: a PBEsol-optimized structure of YTa2Se2 at the meta-GGA SCAN level of DFT.

Cell and atoms, written as extended XYZ:
```
5
Lattice="-1.924 1.924 6.750 1.924 -1.924 6.750 1.924 1.924 -6.750" Properties=species:S:1:pos:R:3 pbc="T T T"
Y 0.000 0.000 0.000
Ta 1.924 0.000 3.375
Ta 0.000 1.924 3.375
Se 0.000 0.000 5.245
Se 0.000 0.000 8.255
```

Output
Its space-group type is I4/mmm (139). For the formation energy (no corrections), the calculation gives -0.555 eV per atom. As for the uncorrected energy: -203.942 eV/cell.

=====

No. 8
Computed, not measured: a PBEsol-optimized structure of TaZnSe2 at the meta-GGA SCAN level of DFT.

Cell and atoms, written as extended XYZ:
```
4
Lattice="0.000 3.268 3.268 3.268 0.000 3.268 3.268 3.268 0.000" Properties=species:S:1:pos:R:3 pbc="T T T"
Ta 0.000 0.000 0.000
Zn 4.902 4.902 4.902
Se 1.634 1.634 1.634
Se 3.268 3.268 3.268
```

Output
Its space-group type is F-43m (216). For the formation energy (no corrections), the calculation gives 0.679 eV per atom. As for the uncorrected energy: -117.539 eV/cell.

=====

No. 9
Computed, not measured: a PBEsol-optimized structure of Zr2TaSe at the meta-GGA SCAN level of DFT.

Cell and atoms, written as extended XYZ:
```
4
Lattice="1.880 -2.513 0.000 1.880 2.513 0.000 0.000 0.000 8.256" Properties=species:S:1:pos:R:3 pbc="T T T"
Zr 0.000 0.000 1.941
Zr 0.000 0.000 6.315
Ta 1.880 0.000 4.128
Se 1.880 0.000 0.000
```

Output
Its space-group type is Cmmm (65). For the formation energy (no corrections), the calculation gives -0.424 eV per atom. As for the uncorrected energy: -149.756 eV/cell.

=====

No. 10
Computed, not measured: a PBEsol-optimized structure of Zr2TaSe at the meta-GGA SCAN level of DFT.

Cell and atoms, written as extended XYZ:
```
4
Lattice="4.700 -1.719 0.000 4.700 1.719 0.000 -1.351 0.000 4.720" Properties=species:S:1:pos:R:3 pbc="T T T"
Zr 1.918 0.000 1.091
Zr 6.131 0.000 3.629
Ta -0.675 0.000 2.360
Se 4.700 0.000 0.000
```

Output
Its space-group type is C2/m (12). For the formation energy (no corrections), the calculation gives -0.205 eV per atom. As for the uncorrected energy: -148.881 eV/cell.

=====

No. 11
Computed, not measured: a PBEsol-optimized structure of ZrTa2Se at the meta-GGA SCAN level of DFT.

Cell and atoms, written as extended XYZ:
```
4
Lattice="4.439 0.000 0.000 0.000 1.639 5.012 0.000 -1.639 5.012" Properties=species:S:1:pos:R:3 pbc="T T T"
Zr 0.000 0.000 0.000
Ta 0.000 0.000 7.394
Ta 2.220 0.000 2.851
Se 2.220 0.000 5.624
```

Output
Its space-group type is Amm2 (38). For the formation energy (no corrections), the calculation gives -0.239 eV per atom. As for the uncorrected energy: -184.901 eV/cell.

=====

No. 12
Computed, not measured: a PBEsol-optimized structure of ZrTaSe3 at the meta-GGA SCAN level of DFT.

Cell and atoms, written as extended XYZ:
```
5
Lattice="4.918 0.000 0.000 0.000 4.918 0.000 0.000 0.000 4.918" Properties=species:S:1:pos:R:3 pbc="T T T"
Zr 0.000 0.000 0.000
Ta 2.459 2.459 2.459
Se 0.000 2.459 2.459
Se 2.459 0.000 2.459
Se 2.459 2.459 0.000
```

Output
Its space-group type is Pm-3m (221). For the formation energy (no corrections), the calculation gives -0.066 eV per atom. As for the uncorrected energy: -157.850 eV/cell.

=====

No. 13
Computed, not measured: a PBEsol-optimized structure of Zr2TaSe at the meta-GGA SCAN level of DFT.

Cell and atoms, written as extended XYZ:
```
4
Lattice="0.000 3.346 3.346 3.346 0.000 3.346 3.346 3.346 0.000" Properties=species:S:1:pos:R:3 pbc="T T T"
Zr 0.000 0.000 0.000
Zr 1.673 1.673 1.673
Ta 3.346 3.346 3.346
Se 5.019 5.019 5.019
```

Output
Its space-group type is F-43m (216). For the formation energy (no corrections), the calculation gives 0.145 eV per atom. As for the uncorrected energy: -147.477 eV/cell.

=====

No. 14
Computed, not measured: a PBEsol-optimized structure of ZrTa2Se at the meta-GGA SCAN level of DFT.

Cell and atoms, written as extended XYZ:
```
4
Lattice="2.858 -3.737 0.000 2.858 3.737 0.000 0.000 0.000 3.350" Properties=species:S:1:pos:R:3 pbc="T T T"
Zr 0.000 0.000 0.000
Ta 1.429 1.869 1.675
Ta 1.429 -1.869 1.675
Se 2.858 0.000 0.000
```

Output
Its space-group type is Cmmm (65). For the formation energy (no corrections), the calculation gives 0.048 eV per atom. As for the uncorrected energy: -183.754 eV/cell.

=====

No. 15
Computed, not measured: a PBEsol-optimized structure of Zr2TaSe at the meta-GGA SCAN level of DFT.

Cell and atoms, written as extended XYZ:
```
4
Lattice="4.550 0.000 0.000 0.000 1.698 5.020 0.000 -1.698 5.020" Properties=species:S:1:pos:R:3 pbc="T T T"
Zr 0.000 0.000 0.000
Zr 2.275 0.000 2.880
Ta 2.275 0.000 5.541
Se 0.000 0.000 7.264
```

Output
Its space-group type is Amm2 (38). For the formation energy (no corrections), the calculation gives -0.470 eV per atom. As for the uncorrected energy: -149.939 eV/cell.